Record 1
Entry from OQMD via LeMat-Bulk: a relaxed structure of TmLuNb2Ge2 (PBE).

Unit cell a=4.0123 b=4.0123 c=7.7112 alpha=90.00 beta=90.00 gamma=90.00
Fractional coordinates of all 6 atoms:
Tm  0.0000  0.0000  0.0000
Lu  0.5000  0.5000  0.7050
Nb  0.0000  0.5000  0.3536
Nb  0.5000  0.0000  0.3536
Ge  0.0000  0.0000  0.6056
Ge  0.5000  0.5000  0.1015

Summary:
- Energy: -7.0417 eV per atom


Record 2
Entry from OQMD via LeMat-Bulk: a relaxed structure of PmDy2Ni9 (PBE).

Unit cell a=8.5910 b=8.5910 c=8.5910 alpha=33.61 beta=33.61 gamma=33.61
Fractional coordinates of all 12 atoms:
Pm  0.0000  0.0000  0.0000
Dy  0.1395  0.1395  0.1395
Dy  0.8605  0.8605  0.8605
Ni  0.0818  0.5833  0.5833
Ni  0.3330  0.3330  0.3330
Ni  0.4167  0.4167  0.9182
Ni  0.4167  0.9182  0.4167
Ni  0.5000  0.5000  0.5000
Ni  0.5833  0.0818  0.5833
Ni  0.5833  0.5833  0.0818
Ni  0.6670  0.6670  0.6670
Ni  0.9182  0.4167  0.4167

Summary:
- DFT formation energy: -398 meV/atom


Record 3
Entry from OQMD via LeMat-Bulk: a relaxed structure of HoGeW (PBE).

Unit cell a=4.4835 b=4.4835 c=4.4835 alpha=60.00 beta=60.00 gamma=60.00
Fractional coordinates of all 3 atoms:
Ho  0.0000  0.0000  0.0000
Ge  0.2500  0.2500  0.2500
W  0.5000  0.5000  0.5000

Summary:
- Energy: -7.0903 eV per atom


Record 4
Entry from OQMD via LeMat-Bulk: a relaxed structure of LiPuHg (PBE).

Unit cell a=4.9780 b=4.9780 c=4.9780 alpha=60.00 beta=60.00 gamma=60.00
Fractional coordinates of all 3 atoms:
Li  0.0000  0.0000  0.0000
Pu  0.5000  0.5000  0.5000
Hg  0.2500  0.2500  0.2500

Summary:
- Energy: -5.3110 eV per atom


Record 5
Entry from OQMD via LeMat-Bulk: a relaxed structure of Dy2YErGa4 (PBE).

Unit cell a=6.6240 b=6.9534 c=6.9534 alpha=36.40 beta=90.00 gamma=90.00
Fractional coordinates of all 8 atoms:
Dy  0.0000  0.0000  0.0000
Dy  0.5000  0.4459  0.4459
Y  0.0000  0.2759  0.2759
Er  0.5000  0.1701  0.1701
Ga  0.1967  0.6246  0.6246
Ga  0.3041  0.8211  0.8211
Ga  0.6959  0.8211  0.8211
Ga  0.8033  0.6246  0.6246

Summary:
- Energy: -4.6834 eV per atom


Record 6
Entry from OQMD via LeMat-Bulk: a relaxed structure of ZnGaB4 (PBE).

Unit cell a=4.5809 b=4.5809 c=4.5809 alpha=140.90 beta=109.15 gamma=84.03
Fractional coordinates of all 6 atoms:
Zn  0.0000  0.0000  0.0000
Ga  0.5000  0.5000  0.0000
B  0.0822  0.7490  0.3332
B  0.4158  0.7490  0.6668
B  0.5842  0.2510  0.3332
B  0.9178  0.2510  0.6668

Summary:
- Energy: -4.8418 eV per atom


Record 7
Entry from OQMD via LeMat-Bulk: a relaxed structure of PrDyCu2As4 (PBE).

Unit cell a=3.9580 b=3.9580 c=10.0393 alpha=90.00 beta=90.00 gamma=90.00
Fractional coordinates of all 8 atoms:
Pr  0.0000  0.0000  0.0000
Dy  0.5000  0.5000  0.4754
Cu  0.0000  0.5000  0.7311
Cu  0.5000  0.0000  0.7311
As  0.0000  0.0000  0.5755
As  0.0000  0.5000  0.2441
As  0.5000  0.0000  0.2441
As  0.5000  0.5000  0.8848

Summary:
- Energy: -5.2515 eV per atom


Record 8
Entry from OQMD via LeMat-Bulk: a relaxed structure of KCuTe2WSe (PBE).

Unit cell a=8.1691 b=8.1691 c=10.1134 alpha=90.00 beta=90.00 gamma=151.56
Fractional coordinates of all 12 atoms:
K  0.2441  0.7559  0.7500
K  0.7559  0.2441  0.2500
Cu  0.0277  0.9723  0.2500
Cu  0.9723  0.0277  0.7500
Te  0.1204  0.8796  0.0429
Te  0.1204  0.8796  0.4571
Te  0.8796  0.1204  0.5429
Te  0.8796  0.1204  0.9571
W  0.5000  0.5000  0.0000
W  0.5000  0.5000  0.5000
Se  0.4397  0.5603  0.2500
Se  0.5603  0.4397  0.7500

Summary:
- Energy: -4.7800 eV per atom